First-principles (PBE) data for InReCl2 after structural relaxation, as listed in Alexandria.

Geometry as POSCAR:
```
InReCl2
1.0
4.432 0.000 0.000
0.000 4.432 0.000
0.000 0.000 8.796
In Re Cl
2 2 4
Direct
0.000 0.000 0.000
0.500 0.500 0.500
0.000 0.000 0.500
0.500 0.500 0.000
0.000 0.500 0.250
0.000 0.500 0.750
0.500 0.000 0.250
0.500 0.000 0.750
```

Summary:
For the energy above the lowest structure with this stoichiometry, the calculation gives 3.850 eV per formula unit. As for the total magnetization: 3.71 μB/f.u. As for the uncorrected formation energy: 90.7 kJ per mole of atoms.

First-principles (PBE) data for InReCl2 after structural relaxation, as listed in Alexandria.

Geometry as POSCAR:
```
InReCl2
1.0
7.485 0.000 0.000
0.000 7.485 0.000
0.000 0.000 7.485
In Re Cl
4 4 8
Direct
0.000 0.000 0.000
0.000 0.500 0.500
0.500 0.000 0.500
0.500 0.500 0.000
0.000 0.000 0.500
0.000 0.500 0.000
0.500 0.000 0.000
0.500 0.500 0.500
0.250 0.250 0.250
0.250 0.250 0.750
0.250 0.750 0.250
0.250 0.750 0.750
0.750 0.250 0.250
0.750 0.250 0.750
0.750 0.750 0.250
0.750 0.750 0.750
```

Summary:
For the energy above the lowest structure with this stoichiometry, the calculation gives 3.756 eV per formula unit. As for the total magnetization: 5.97 μB/f.u. As for the uncorrected formation energy: 88.4 kJ per mole of atoms.

First-principles (PBE) data for InRe2Cl after structural relaxation, as listed in Alexandria.

Geometry as POSCAR:
```
InRe2Cl
1.0
3.016 0.000 0.000
0.000 3.061 0.000
0.000 0.000 16.333
In Re Cl
2 4 2
Direct
0.000 0.000 0.000
0.000 0.500 0.500
0.000 0.000 0.787
0.000 0.500 0.287
0.500 0.000 0.376
0.500 0.500 0.876
0.500 0.000 0.664
0.500 0.500 0.164
```

Summary:
For the energy above the lowest structure with this stoichiometry, the calculation gives 0.000 eV per formula unit. As for the total magnetization: 0.00 μB/f.u. As for the uncorrected formation energy: 10.1 kJ per mole of atoms.

First-principles (PBE) data for InReCl2 after structural relaxation, as listed in Alexandria.

Geometry as POSCAR:
```
InReCl2
1.0
3.139 0.000 0.000
0.000 7.503 0.000
0.000 0.000 9.642
In Re Cl
2 2 4
Direct
0.000 0.000 0.000
0.500 0.500 0.500
0.000 0.500 0.269
0.500 0.000 0.769
0.000 0.000 0.588
0.000 0.500 0.717
0.500 0.000 0.217
0.500 0.500 0.088
```

Summary:
For the energy above the lowest structure with this stoichiometry, the calculation gives 1.443 eV per formula unit. As for the total magnetization: 1.94 μB/f.u. As for the uncorrected formation energy: 32.6 kJ per mole of atoms.

First-principles (PBE) data for InRe2Cl after structural relaxation, as listed in Alexandria.

Geometry as POSCAR:
```
InRe2Cl
1.0
2.814 0.000 0.000
0.000 5.021 0.000
0.000 0.000 9.565
In Re Cl
2 4 2
Direct
0.000 0.000 0.000
0.500 0.500 0.500
0.000 0.500 0.235
0.000 0.500 0.765
0.500 0.000 0.265
0.500 0.000 0.735
0.000 0.000 0.500
0.500 0.500 0.000
```

Summary:
For the energy above the lowest structure with this stoichiometry, the calculation gives 3.031 eV per formula unit. As for the total magnetization: 0.00 μB/f.u. As for the uncorrected formation energy: 83.2 kJ per mole of atoms.

First-principles (PBE) data for InReCl2 after structural relaxation, as listed in Alexandria.

Geometry as POSCAR:
```
InReCl2
1.0
8.222 0.000 0.000
0.000 8.222 0.000
0.000 0.000 5.548
In Re Cl
4 4 8
Direct
0.000 0.000 0.000
0.000 0.500 0.250
0.500 0.000 0.750
0.500 0.500 0.500
0.000 0.000 0.500
0.000 0.500 0.750
0.500 0.000 0.250
0.500 0.500 0.000
0.122 0.250 0.625
0.250 0.622 0.875
0.250 0.878 0.375
0.378 0.250 0.125
0.622 0.750 0.125
0.750 0.122 0.375
0.750 0.378 0.875
0.878 0.750 0.625
```

Summary:
For the energy above the lowest structure with this stoichiometry, the calculation gives 1.193 eV per formula unit. As for the total magnetization: 0.00 μB/f.u. As for the uncorrected formation energy: 26.6 kJ per mole of atoms.